# 1
{
  "formula": "AcPm2ScS6",
  "functional": "PBE",
  "state": "optimized geometry",
  "mass_density_g_cm3": 4.6,
  "e_form_raw_ev_per_atom": -1.982,
  "lattice_angstrom": [[7.091, 0.000, 0.001], [3.545, 6.140, 0.001], [3.546, 2.047, 6.238]],
  "species": ["Ac", "Pm", "Pm", "Sc", "S", "S", "S", "S", "S", "S"],
  "fractional_positions": [[0.806, 0.806, 0.583], [0.525, 0.525, 0.425], [0.015, 0.015, 0.956], [0.321, 0.321, 0.037], [0.590, 0.218, 0.247], [0.218, 0.945, 0.247], [0.945, 0.590, 0.247], [0.390, 0.704, 0.758], [0.704, 0.147, 0.758], [0.147, 0.391, 0.758]]
}

---

# 2
{
  "formula": "Ac2PmSe2S2",
  "functional": "PBE",
  "state": "optimized geometry",
  "mass_density_g_cm3": 6.3,
  "e_form_raw_ev_per_atom": -1.759,
  "lattice_angstrom": [[5.224, 0.000, 0.000], [0.000, 5.224, 0.000], [-2.612, -2.612, 7.880]],
  "species": ["Ac", "Ac", "Pm", "Se", "Se", "S", "S"],
  "fractional_positions": [[0.373, 0.373, 0.746], [0.627, 0.627, 0.254], [0.000, 0.000, 0.000], [0.184, 0.184, 0.367], [0.816, 0.816, 0.633], [0.000, 0.500, 0.000], [0.500, 0.000, 0.000]]
}

---

# 3
{
  "formula": "Ac2Pm2Se2S3",
  "functional": "PBE",
  "state": "optimized geometry",
  "mass_density_g_cm3": 6.3,
  "e_form_raw_ev_per_atom": -1.723,
  "lattice_angstrom": [[5.306, 0.000, 0.000], [0.000, 5.306, 0.000], [-2.653, -2.653, 9.278]],
  "species": ["Ac", "Ac", "Pm", "Pm", "Se", "Se", "S", "S", "S"],
  "fractional_positions": [[0.182, 0.182, 0.364], [0.818, 0.818, 0.636], [0.500, 0.000, 0.000], [0.000, 0.500, 0.000], [0.596, 0.596, 0.193], [0.404, 0.404, 0.807], [0.000, 0.000, 0.000], [0.250, 0.750, 0.500], [0.750, 0.250, 0.500]]
}

---

# 4
{
  "formula": "Ac2PmSmS4",
  "functional": "PBE",
  "state": "optimized geometry",
  "mass_density_g_cm3": 7.1,
  "e_form_raw_ev_per_atom": -2.007,
  "lattice_angstrom": [[4.114, 0.000, 0.000], [0.000, 7.175, 0.132], [0.000, -2.500, 6.863]],
  "species": ["Ac", "Ac", "Pm", "Sm", "S", "S", "S", "S"],
  "fractional_positions": [[0.500, 0.000, 0.500], [0.000, 0.500, 0.500], [0.500, 0.500, 0.000], [0.000, 0.000, 0.000], [0.500, 0.242, 0.230], [0.500, 0.758, 0.770], [0.000, 0.256, 0.770], [0.000, 0.744, 0.230]]
}

---

# 5
{
  "formula": "AcPmSmS3",
  "functional": "PBE",
  "state": "optimized geometry",
  "mass_density_g_cm3": 6.3,
  "e_form_raw_ev_per_atom": -1.806,
  "lattice_angstrom": [[4.103, 0.000, 0.000], [0.000, 7.932, -0.107], [0.000, -2.145, 10.060]],
  "species": ["Ac", "Ac", "Pm", "Pm", "Sm", "Sm", "S", "S", "S", "S", "S", "S"],
  "fractional_positions": [[0.250, 0.184, 0.208], [0.750, 0.816, 0.792], [0.250, 0.662, 0.094], [0.750, 0.338, 0.906], [0.250, 0.180, 0.621], [0.750, 0.820, 0.379], [0.750, 0.905, 0.114], [0.250, 0.095, 0.886], [0.250, 0.812, 0.565], [0.750, 0.188, 0.435], [0.750, 0.473, 0.191], [0.250, 0.527, 0.809]]
}

---

# 6
{
  "formula": "Ac3Pm2SmS6",
  "functional": "PBE",
  "state": "optimized geometry",
  "mass_density_g_cm3": 7.1,
  "e_form_raw_ev_per_atom": -2.013,
  "lattice_angstrom": [[-7.016, 1.252, 0.933], [2.190, -4.747, -4.932], [1.350, -3.822, 6.027]],
  "species": ["Ac", "Ac", "Ac", "Pm", "Pm", "Sm", "S", "S", "S", "S", "S", "S"],
  "fractional_positions": [[0.167, 0.833, 0.500], [0.833, 0.167, 0.500], [0.500, 0.500, 0.500], [0.333, 0.667, 0.000], [0.667, 0.333, 0.000], [0.000, 0.000, 0.000], [0.923, 0.591, 0.770], [0.745, 0.745, 0.231], [0.077, 0.409, 0.230], [0.591, 0.923, 0.770], [0.255, 0.255, 0.769], [0.409, 0.077, 0.230]]
}